The following is a DFT calculation (PBE) of a geometry-optimized Sr8Bi5S structure.

## Properties
* formation energy without anion corrections: -1.03 eV/atom
* magnetic moment: 0.00 μB per formula unit
* crystal system: tetragonal

```
data_Sr8Bi5S
_cell_length_a 10.023
_cell_length_b 10.023
_cell_length_c 10.268
_cell_angle_alpha 90.00
_cell_angle_beta 90.00
_cell_angle_gamma 90.00
_symmetry_space_group_name_H-M 'I -4'
_symmetry_Int_Tables_number 82
_symmetry_space_group_name_Hall 'I -4'
loop_
_atom_site_label
_atom_site_fract_x
_atom_site_fract_y
_atom_site_fract_z
Sr1 0.062 0.301 0.047
Sr2 0.078 0.179 0.688
Bi1 0.000 0.500 0.750
Bi2 0.127 0.249 0.369
S1 0.000 0.000 0.000
```

---

The following is a DFT calculation (PBE) of a geometry-optimized YZn2H2 structure.

## Properties
* magnetic moment: 0.58 μB per formula unit
* crystal system: tetragonal
* offset from the most stable computed form: 0.325 eV per atom

```
data_YZn2H2
_cell_length_a 3.306
_cell_length_b 3.306
_cell_length_c 12.885
_cell_angle_alpha 90.00
_cell_angle_beta 90.00
_cell_angle_gamma 90.00
_symmetry_space_group_name_H-M 'I 4/m m m'
_symmetry_Int_Tables_number 139
_symmetry_space_group_name_Hall '-I 4 2'
loop_
_atom_site_label
_atom_site_fract_x
_atom_site_fract_y
_atom_site_fract_z
Y1 0.000 0.000 0.000
Zn1 0.000 0.000 0.336
H1 0.000 0.500 0.250
```

---

The following is a DFT calculation (PBE) of a geometry-optimized Er3Th2UP6 structure.

## Properties
* magnetic moment: 2.46 μB per formula unit
* crystal system: monoclinic
* E_form: -33.91 kcal/mol of atoms

```
data_Er3Th2UP6
_cell_length_a 17.537
_cell_length_b 4.026
_cell_length_c 8.049
_cell_angle_alpha 90.00
_cell_angle_beta 103.14
_cell_angle_gamma 90.00
_symmetry_space_group_name_H-M 'C 1 2/m 1'
_symmetry_Int_Tables_number 12
_symmetry_space_group_name_Hall '-C 2y'
loop_
_atom_site_label
_atom_site_fract_x
_atom_site_fract_y
_atom_site_fract_z
Er1 0.000 0.000 0.000
Er2 0.168 0.500 0.333
Th1 0.165 0.500 0.832
U1 0.000 0.000 0.500
P1 0.003 0.500 0.254
P2 0.165 0.000 0.089
P3 0.165 0.000 0.575
```

---

The following is a DFT calculation (PBE) of a geometry-optimized Ac7Pd5Au structure.

## Properties
* magnetic moment: 0.00 μB per formula unit
* crystal system: monoclinic
* E_form: -16.76 kcal/mol of atoms

```
data_Ac7Pd5Au
_cell_length_a 14.636
_cell_length_b 4.386
_cell_length_c 26.364
_cell_angle_alpha 90.00
_cell_angle_beta 90.05
_cell_angle_gamma 90.00
_symmetry_space_group_name_H-M 'C 1 2/m 1'
_symmetry_Int_Tables_number 12
_symmetry_space_group_name_Hall '-C 2y'
loop_
_atom_site_label
_atom_site_fract_x
_atom_site_fract_y
_atom_site_fract_z
Ac1 0.046 0.000 0.250
Ac2 0.090 0.500 0.106
Ac3 0.090 0.500 0.394
Ac4 0.136 0.000 0.536
Ac5 0.136 0.000 0.964
Ac6 0.181 0.500 0.675
Ac7 0.181 0.500 0.825
Pd1 0.000 0.500 0.000
Pd2 0.000 0.500 0.500
Pd3 0.043 0.000 0.645
Pd4 0.043 0.000 0.855
Pd5 0.226 0.000 0.072
Pd6 0.226 0.000 0.428
Au1 0.210 0.500 0.250
```

---

The following is a DFT calculation (PBE) of a geometry-optimized NaZrSb2 structure.

## Properties
* formation energy without anion corrections: -0.24 eV/atom
* magnetic moment: 0.00 μB per formula unit
* crystal system: cubic
* offset from the most stable computed form: 0.183 eV per atom

```
data_NaZrSb2
_cell_length_a 7.328
_cell_length_b 7.328
_cell_length_c 7.328
_cell_angle_alpha 90.00
_cell_angle_beta 90.00
_cell_angle_gamma 90.00
_symmetry_space_group_name_H-M 'F m -3 m'
_symmetry_Int_Tables_number 225
_symmetry_space_group_name_Hall '-F 4 2 3'
loop_
_atom_site_label
_atom_site_fract_x
_atom_site_fract_y
_atom_site_fract_z
Na1 0.000 0.000 0.000
Zr1 0.000 0.000 0.500
Sb1 0.250 0.250 0.250
```

---

The following is a DFT calculation (PBE) of a geometry-optimized YThCoTe structure.

## Properties
* formation energy without anion corrections: -0.73 eV/atom
* magnetic moment: 0.00 μB per formula unit
* crystal system: trigonal

```
data_YThCoTe
_cell_length_a 4.0589
_cell_length_b 4.0589
_cell_length_c 22.3886
_cell_angle_alpha 90.00
_cell_angle_beta 90.00
_cell_angle_gamma 120.00
_symmetry_space_group_name_H-M 'R 3 m'
_symmetry_Int_Tables_number 160
_symmetry_space_group_name_Hall 'R 3 -2"'
loop_
_atom_site_label
_atom_site_fract_x
_atom_site_fract_y
_atom_site_fract_z
Y1 0.0000 0.0000 0.0000
Th1 0.0000 0.0000 0.2011
Co1 0.0000 0.0000 0.5956
Te1 0.0000 0.0000 0.7628
```

---

The following is a DFT calculation (PBE) of a geometry-optimized La3Hg2Au4 structure.

## Properties
* magnetic moment: 0.00 μB per formula unit
* crystal system: monoclinic
* E_form: -16.41 kcal/mol of atoms

```
data_La3Hg2Au4
_cell_length_a 11.307
_cell_length_b 4.851
_cell_length_c 9.238
_cell_angle_alpha 90.00
_cell_angle_beta 116.73
_cell_angle_gamma 90.00
_symmetry_space_group_name_H-M 'C 1 2/m 1'
_symmetry_Int_Tables_number 12
_symmetry_space_group_name_Hall '-C 2y'
loop_
_atom_site_label
_atom_site_fract_x
_atom_site_fract_y
_atom_site_fract_z
La1 0.000 0.000 0.000
La2 0.157 0.500 0.679
Hg1 0.128 0.500 0.293
Au1 0.062 0.000 0.398
Au2 0.222 0.500 0.056
```

---

The following is a DFT calculation (PBE) of a geometry-optimized BeP2N structure.

## Properties
* formation energy without anion corrections: 0.35 eV/atom
* magnetic moment: 0.00 μB per formula unit
* crystal system: tetragonal
* offset from the most stable computed form: 0.000 eV per atom

```
data_BeP2N
_cell_length_a 4.607
_cell_length_b 4.607
_cell_length_c 9.470
_cell_angle_alpha 90.00
_cell_angle_beta 90.00
_cell_angle_gamma 90.00
_symmetry_space_group_name_H-M 'I -4 2 d'
_symmetry_Int_Tables_number 122
_symmetry_space_group_name_Hall 'I -4 2bw'
loop_
_atom_site_label
_atom_site_fract_x
_atom_site_fract_y
_atom_site_fract_z
Be1 0.000 0.000 0.000
P1 0.224 0.250 0.625
N1 0.000 0.000 0.500
```

---

The following is a DFT calculation (PBE) of a geometry-optimized BeRhBr structure.

## Properties
* formation energy without anion corrections: -0.03 eV/atom
* magnetic moment: 0.00 μB per formula unit
* crystal system: orthorhombic
* offset from the most stable computed form: 0.402 eV per atom

```
data_BeRhBr
_cell_length_a 7.009
_cell_length_b 3.702
_cell_length_c 8.515
_cell_angle_alpha 90.00
_cell_angle_beta 90.00
_cell_angle_gamma 90.00
_symmetry_space_group_name_H-M 'P n m a'
_symmetry_Int_Tables_number 62
_symmetry_space_group_name_Hall '-P 2ac 2n'
loop_
_atom_site_label
_atom_site_fract_x
_atom_site_fract_y
_atom_site_fract_z
Be1 0.071 0.250 0.018
Rh1 0.228 0.750 0.067
Br1 0.125 0.750 0.341
```

---

The following is a DFT calculation (PBE) of a geometry-optimized ScVInTc2 structure.

## Properties
* magnetic moment: 1.63 μB per formula unit
* crystal system: tetragonal
* E_form: 46.63 kcal/mol of atoms

```
data_ScVInTc2
_cell_length_a 4.867
_cell_length_b 4.867
_cell_length_c 4.957
_cell_angle_alpha 90.00
_cell_angle_beta 90.00
_cell_angle_gamma 90.00
_symmetry_space_group_name_H-M 'P 4/m m m'
_symmetry_Int_Tables_number 123
_symmetry_space_group_name_Hall '-P 4 2'
loop_
_atom_site_label
_atom_site_fract_x
_atom_site_fract_y
_atom_site_fract_z
Sc1 0.000 0.000 0.000
V1 0.500 0.500 0.000
In1 0.000 0.000 0.500
Tc1 0.000 0.500 0.500
```

---

The following is a DFT calculation (PBE) of a geometry-optimized TbZrTiAl structure.

## Properties
* magnetic moment: 2.91 μB per formula unit
* crystal system: cubic
* E_form: -1.43 kcal/mol of atoms

```
data_TbZrTiAl
_cell_length_a 7.067
_cell_length_b 7.067
_cell_length_c 7.067
_cell_angle_alpha 90.00
_cell_angle_beta 90.00
_cell_angle_gamma 90.00
_symmetry_space_group_name_H-M 'F -4 3 m'
_symmetry_Int_Tables_number 216
_symmetry_space_group_name_Hall 'F -4 2 3'
loop_
_atom_site_label
_atom_site_fract_x
_atom_site_fract_y
_atom_site_fract_z
Tb1 0.000 0.000 0.000
Zr1 0.000 0.000 0.500
Ti1 0.250 0.250 0.250
Al1 0.250 0.250 0.750
```